Version w
Entry from Alexandria via LeMat-Bulk: LiTi2O4 at its PBEsol-relaxed geometry (SCAN).

Cell and atoms, written as POSCAR:
```
LiTi2O4
1.0
-2.930 2.965 4.152
2.930 -2.965 4.152
2.930 2.965 -4.152
Li Ti O
2 4 8
Cartesian
-1.465 1.483 2.076
1.465 1.483 2.076
0.000 0.000 0.000
1.465 1.483 -2.076
1.465 -1.483 2.076
0.000 2.965 0.000
2.930 2.867 -2.177
1.306 1.483 -0.084
1.624 -1.483 4.068
2.930 -0.098 2.177
0.000 3.063 1.974
1.306 4.448 0.084
1.624 1.483 4.236
0.000 0.098 6.329
```

* density of states at the Fermi level: 5.1 states/eV per cell
* SG: Imma (74)
* M_tot: 0.001 μB per formula unit

***

Version x
Entry from Alexandria via LeMat-Bulk: LiTi2O4 at its PBEsol-relaxed geometry (SCAN).

Cell and atoms, written as POSCAR:
```
LiTi2O4
1.0
-1.902 2.010 4.496
1.902 -2.010 4.496
1.902 2.010 -4.496
Li Ti O
1 2 4
Cartesian
0.000 0.000 0.000
1.902 0.000 2.585
0.000 0.000 5.092
1.902 0.000 0.614
0.000 0.000 2.961
0.000 2.010 0.202
0.000 0.000 7.038
```

* density of states at the Fermi level: 1.4 states/eV per cell
* SG: Imm2 (44)
* M_tot: 0.000 μB per formula unit

***

Going by the energies, version x is most stable and the next is 0.051 eV/atom up.